No. 1
A plane-wave DFT calculation with GGA-PBEsol was carried out for a relaxed BeTlHg2 crystal.

Cell: 3.0118 4.0820 13.7320 Å, 90.00 90.00 90.00°
Space group Imm2 (No. 44)
One atom of each set of equivalent atoms:
Be 0.0000 0.0000 0.0000 x2
Tl 0.0000 0.5000 0.2996 x2
Hg 0.0000 0.0000 0.4802 x2
Hg 0.0000 0.5000 0.6546 x2

energy relative to the elements: 0.21 eV/atom
energy: -1.727 eV per atom
magnetic moment: 0.000 μB/f.u.

=====

No. 2
A plane-wave DFT calculation with GGA-PBEsol was carried out for a relaxed Be2TlHg crystal.

Cell: 3.2335 4.1340 5.4493 Å, 90.00 94.84 90.00°
Space group P2/m (No. 10)
One atom of each set of equivalent atoms:
Be 0.2219 0.0000 0.3331 x2
Tl 0.0000 0.5000 0.0000 x1
Hg 0.5000 0.5000 0.5000 x1

energy relative to the elements: 0.58 eV/atom
energy: -2.216 eV per atom
magnetic moment: 0.000 μB/f.u.
distance to the lowest polymorph of the same formula: 0.021 eV per atom

=====

No. 3
A plane-wave DFT calculation with GGA-PBEsol was carried out for a relaxed BeHg2W crystal.

Cell: 5.0026 2.8538 5.0169 Å, 90.00 110.98 90.00°
Space group P2/m (No. 10)
One atom of each set of equivalent atoms:
Be 0.0000 0.0000 0.0000 x1
Hg 0.0000 0.5000 0.5000 x1
Hg 0.5000 0.0000 0.5000 x1
W 0.5000 0.5000 0.0000 x1

energy relative to the elements: 0.67 eV/atom
energy: -4.067 eV per atom
magnetic moment: 0.000 μB/f.u.

=====

No. 4
A plane-wave DFT calculation with GGA-PBEsol was carried out for a relaxed BeHg2W crystal.

Cell: 2.8753 4.6792 9.5078 Å, 90.00 90.00 90.00°
Space group Immm (No. 71)
One atom of each set of equivalent atoms:
Be 0.0000 0.0000 0.0000 x2
Hg 0.0000 0.5000 0.2896 x4
W 0.0000 0.0000 0.5000 x2

energy relative to the elements: 0.71 eV/atom
energy: -4.028 eV per atom
magnetic moment: 0.000 μB/f.u.

=====

No. 5
A plane-wave DFT calculation with GGA-PBEsol was carried out for a relaxed Y2BeHg crystal.

Cell: 8.1613 3.6248 6.8243 Å, 90.00 103.13 90.00°
Space group C2/m (No. 12)
One atom of each set of equivalent atoms:
Y 0.2417 0.0000 0.2186 x4
Be 0.0000 0.5000 0.0000 x2
Hg 0.0000 0.0000 0.5000 x2

energy relative to the elements: 0.00 eV/atom
energy: -4.548 eV per atom
magnetic moment: 0.000 μB/f.u.
distance to the lowest polymorph of the same formula: 0.000 eV per atom

=====

No. 6
A plane-wave DFT calculation with GGA-PBEsol was carried out for a relaxed Y3BeHg crystal.

Cell: 5.1134 5.1134 5.1134 Å, 90.00 90.00 90.00°
Space group Pm-3m (No. 221)
One atom of each set of equivalent atoms:
Y 0.0000 0.0000 0.5000 x3
Be 0.0000 0.0000 0.0000 x1
Hg 0.5000 0.5000 0.5000 x1

energy relative to the elements: 0.16 eV/atom
energy: -4.843 eV per atom
magnetic moment: 2.054 μB/f.u.

=====

No. 7
A plane-wave DFT calculation with GGA-PBEsol was carried out for a relaxed Y2BeHg crystal.

Cell: 4.7582 3.6645 6.0078 Å, 90.00 108.98 90.00°
Space group P2/m (No. 10)
One atom of each set of equivalent atoms:
Y 0.0000 0.0000 0.0000 x1
Y 0.5000 0.5000 0.5000 x1
Be 0.0000 0.0000 0.5000 x1
Hg 0.5000 0.5000 0.0000 x1

energy relative to the elements: 0.05 eV/atom
energy: -4.507 eV per atom
magnetic moment: 0.000 μB/f.u.
distance to the lowest polymorph of the same formula: 0.042 eV per atom

=====

No. 8
A plane-wave DFT calculation with GGA-PBEsol was carried out for a relaxed Be2ZnHg crystal.

Cell: 2.8151 2.8151 24.4041 Å, 90.00 90.00 120.00°
Space group R3m (No. 160, hexagonal axes)
One atom of each set of equivalent atoms:
Be 0.0000 0.0000 0.0000 x3
Be 0.0000 0.0000 0.2669 x3
Zn 0.0000 0.0000 0.7422 x3
Hg 0.0000 0.0000 0.5121 x3

energy relative to the elements: 0.44 eV/atom
energy: -2.101 eV per atom
magnetic moment: 0.000 μB/f.u.
distance to the lowest polymorph of the same formula: 0.075 eV per atom

=====

No. 9
A plane-wave DFT calculation with GGA-PBEsol was carried out for a relaxed Be2ZnHg crystal.

Cell: 3.6970 3.6970 7.6379 Å, 90.00 90.00 90.00°
Space group I-4m2 (No. 119)
One atom of each set of equivalent atoms:
Be 0.0000 0.0000 0.0000 x2
Be 0.0000 0.5000 0.2500 x2
Zn 0.0000 0.5000 0.7500 x2
Hg 0.0000 0.0000 0.5000 x2

energy relative to the elements: 0.36 eV/atom
energy: -2.175 eV per atom
magnetic moment: 0.000 μB/f.u.
distance to the lowest polymorph of the same formula: 0.000 eV per atom

=====

No. 10
A plane-wave DFT calculation with GGA-PBEsol was carried out for a relaxed Be2ZnHg crystal.

Cell: 2.8470 2.8470 23.5882 Å, 90.00 90.00 120.00°
Space group R-3m (No. 166, hexagonal axes)
One atom of each set of equivalent atoms:
Be 0.0000 0.0000 0.2446 x6
Zn 0.0000 0.0000 0.5000 x3
Hg 0.0000 0.0000 0.0000 x3

energy relative to the elements: 0.44 eV/atom
energy: -2.095 eV per atom
magnetic moment: 0.000 μB/f.u.
distance to the lowest polymorph of the same formula: 0.081 eV per atom

=====

No. 11
A plane-wave DFT calculation with GGA-PBEsol was carried out for a relaxed BeZnHg2 crystal.

Cell: 5.6418 7.2105 3.3066 Å, 90.00 90.00 90.00°
Space group Cmmm (No. 65)
One atom of each set of equivalent atoms:
Be 0.0000 0.0000 0.0000 x2
Zn 0.0000 0.5000 0.0000 x2
Hg 0.2500 0.2500 0.5000 x4

energy relative to the elements: 0.33 eV/atom
energy: -1.347 eV per atom
magnetic moment: 0.000 μB/f.u.
distance to the lowest polymorph of the same formula: 0.041 eV per atom

=====

No. 12
A plane-wave DFT calculation with GGA-PBEsol was carried out for a relaxed BeZnHg2 crystal.

Cell: 2.7801 5.9683 8.7438 Å, 90.00 90.00 90.00°
Space group Immm (No. 71)
One atom of each set of equivalent atoms:
Be 0.0000 0.0000 0.0000 x2
Zn 0.0000 0.0000 0.5000 x2
Hg 0.0000 0.5000 0.2693 x4

energy relative to the elements: 0.29 eV/atom
energy: -1.388 eV per atom
magnetic moment: 0.000 μB/f.u.
distance to the lowest polymorph of the same formula: 0.000 eV per atom

=====

No. 13
A plane-wave DFT calculation with GGA-PBEsol was carried out for a relaxed Zr2Be2Hg crystal.

Cell: 6.3216 6.3216 3.9647 Å, 90.00 90.00 90.00°
Space group P4/mbm (No. 127)
One atom of each set of equivalent atoms:
Zr 0.1710 0.3290 0.0000 x4
Be 0.1227 0.6227 0.5000 x4
Hg 0.0000 0.0000 0.5000 x2

energy relative to the elements: -0.30 eV/atom
energy: -5.648 eV per atom
magnetic moment: 0.000 μB/f.u.

=====

No. 14
A plane-wave DFT calculation with GGA-PBEsol was carried out for a relaxed ZrBe2Hg crystal.

Cell: 4.1919 4.1919 3.4279 Å, 90.00 90.00 90.00°
Space group P4/mmm (No. 123)
One atom of each set of equivalent atoms:
Zr 0.0000 0.0000 0.0000 x1
Be 0.0000 0.5000 0.5000 x2
Hg 0.5000 0.5000 0.0000 x1

energy relative to the elements: 0.04 eV/atom
energy: -4.377 eV per atom
magnetic moment: 0.000 μB/f.u.

=====

No. 15
A plane-wave DFT calculation with GGA-PBEsol was carried out for a relaxed ZrBe2Hg crystal.

Cell: 3.0625 3.9090 10.0892 Å, 90.00 90.00 90.00°
Space group Imm2 (No. 44)
One atom of each set of equivalent atoms:
Zr 0.0000 0.0000 0.0000 x2
Be 0.0000 0.0000 0.4078 x2
Be 0.0000 0.5000 0.7582 x2
Hg 0.0000 0.5000 0.2297 x2

energy relative to the elements: 0.15 eV/atom
energy: -4.260 eV per atom
magnetic moment: 0.000 μB/f.u.

=====

No. 16
A plane-wave DFT calculation with GGA-PBEsol was carried out for a relaxed HoBe13 crystal.

Cell: 10.1132 10.1132 10.1132 Å, 90.00 90.00 90.00°
Space group Fm-3c (No. 226)
One atom of each set of equivalent atoms:
Ho 0.2500 0.2500 0.2500 x8
Be 0.0000 0.0000 0.0000 x8
Be 0.0000 0.1146 0.1768 x96

energy relative to the elements: -0.18 eV/atom
energy: -4.250 eV per atom
magnetic moment: 0.000 μB/f.u.

=====

No. 17
A plane-wave DFT calculation with GGA-PBEsol was carried out for a relaxed BeI2 crystal.

Cell: 12.4092 12.4092 21.0197 Å, 90.00 90.00 90.00°
Space group I4_1/acd (No. 142, origin choice 2)
One atom of each set of equivalent atoms:
Be 0.0887 0.1256 0.3116 x32
I 0.0000 0.2500 0.0088 x16
I 0.0350 0.0256 0.8758 x32
I 0.1947 0.0000 0.2500 x16

energy: -3.054 eV per atom
magnetic moment: 0.000 μB/f.u.
distance to the lowest polymorph of the same formula: 0.000 eV per atom
formation energy (no corrections): -543 meV/atom

=====

No. 18
A plane-wave DFT calculation with GGA-PBEsol was carried out for a relaxed BeI2 crystal.

Cell: 6.1589 11.3764 6.0087 Å, 90.00 90.00 90.00°
Space group Ibam (No. 72)
One atom of each set of equivalent atoms:
Be 0.0000 0.0000 0.2500 x4
I 0.2166 0.1169 0.0000 x8

energy: -3.044 eV per atom
magnetic moment: 0.000 μB/f.u.
distance to the lowest polymorph of the same formula: 0.010 eV per atom
formation energy (no corrections): -532 meV/atom

=====

No. 19
A plane-wave DFT calculation with GGA-PBEsol was carried out for a relaxed BeInTe2I crystal.

Cell: 5.6148 5.6148 5.6791 Å, 90.00 90.00 90.00°
Space group P4/mmm (No. 123)
One atom of each set of equivalent atoms:
Be 0.0000 0.0000 0.0000 x1
In 0.5000 0.5000 0.5000 x1
Te 0.0000 0.5000 0.5000 x2
I 0.5000 0.5000 0.0000 x1

energy: -2.294 eV per atom
magnetic moment: 0.010 μB/f.u.
formation energy (no corrections): 867 meV/atom

=====

No. 20
A plane-wave DFT calculation with GGA-PBEsol was carried out for a relaxed BeSbIrI2 crystal.

Cell: 4.8477 4.8477 4.7685 Å, 90.00 90.00 90.00°
Space group P4/mmm (No. 123)
One atom of each set of equivalent atoms:
Be 0.0000 0.0000 0.0000 x1
Sb 0.0000 0.0000 0.5000 x1
Ir 0.5000 0.5000 0.5000 x1
I 0.0000 0.5000 0.0000 x2

energy: -3.212 eV per atom
magnetic moment: 0.060 μB/f.u.
formation energy (no corrections): 1171 meV/atom

=====

So what do the calculations give for Fermi-level density of states? Going down the list: 2.41, 1.18, 1.17, 3.81, 8.75, 8.40, 4.35, 3.54, 2.01, 3.62, 2.08, 2.21, 3.33, 1.69, 3.43, 27.91, 0.00, 0.00, 5.38, 5.20 states/eV/cell.